This record from the Alexandria database describes a geometry-optimized PrYHgSb structure. The functional is PBE. Values from VASP.

Structure (Quantum ESPRESSO input):
```
&SYSTEM
  ibrav = 0, nat = 4, ntyp = 4
/
ATOMIC_SPECIES
Y 88.91 Y.upf
Hg 200.59 Hg.upf
Sb 121.76 Sb.upf
Pr 140.91 Pr.upf
CELL_PARAMETERS angstrom
5.396 0.000 0.000
2.698 4.673 0.000
2.698 1.558 4.406
ATOMIC_POSITIONS crystal
Y 0.750 0.750 0.750
Hg 0.000 0.000 0.000
Sb 0.500 0.500 0.500
Pr 0.250 0.250 0.250
```

Calculated values
- formation energy without anion corrections (eV/atom) = -0.65
- N(E_F) (states/eV/f.u.) = 3.73
- space-group type = F-43m, No. 216